Entry 1:
# GGA-PBE ErHgRu, relaxed
data_ErHgRu
_cell_length_a 5.1151
_cell_length_b 4.2728
_cell_length_c 6.3298
_cell_angle_alpha 90.00
_cell_angle_beta 95.94
_cell_angle_gamma 90.00
_symmetry_space_group_name_H-M 'P 1 21/m 1'
_symmetry_Int_Tables_number 11
loop_
_symmetry_equiv_pos_as_xyz
'x,y,z'
'-x,-y,-z'
'-x,y+1/2,-z'
'x,-y+1/2,z'
loop_
_atom_site_label
_atom_site_fract_x
_atom_site_fract_y
_atom_site_fract_z
Er1 0.0845 0.2500 0.2709
Hg1 0.3643 0.2500 0.8485
Ru1 0.4036 0.7500 0.5465
# V (Å³/f.u.): 68.8
# DFT total energy (eV/atom): -4.847
# E_form (eV/f.u.): -0.402

Entry 2:
# GGA-PBE MoP3Cl, relaxed
data_MoP3Cl
_cell_length_a 4.4455
_cell_length_b 4.4455
_cell_length_c 4.4455
_cell_angle_alpha 90.00
_cell_angle_beta 90.00
_cell_angle_gamma 90.00
_symmetry_space_group_name_H-M 'P m -3 m'
_symmetry_Int_Tables_number 221
_symmetry_space_group_name_Hall '-P 4 2 3'
loop_
_atom_site_label
_atom_site_fract_x
_atom_site_fract_y
_atom_site_fract_z
Mo1 0.0000 0.0000 0.0000
P1 0.0000 0.5000 0.5000
Cl1 0.5000 0.5000 0.5000
# V (Å³/f.u.): 87.9
# DFT total energy (eV/atom): -4.293
# Formation energy (no corrections) (meV/atom): 1489

Entry 3:
# GGA-PBE Ba5P3ClO12, relaxed
data_Ba5P3ClO12
_cell_length_a 10.4462
_cell_length_b 10.4462
_cell_length_c 7.7363
_cell_angle_alpha 90.00
_cell_angle_beta 90.00
_cell_angle_gamma 120.00
_symmetry_space_group_name_H-M 'P 63/m'
_symmetry_Int_Tables_number 176
_symmetry_space_group_name_Hall '-P 6c'
loop_
_atom_site_label
_atom_site_fract_x
_atom_site_fract_y
_atom_site_fract_z
Ba1 0.0114 0.7525 0.2500
Ba2 0.3333 0.6667 0.0003
P1 0.0349 0.6291 0.7500
Cl1 0.0000 0.0000 0.0000
O1 0.0860 0.7298 0.5864
O2 0.1163 0.5373 0.7500
O3 0.1361 0.4761 0.2500
# V (Å³/f.u.): 365.5
# DFT total energy (eV/atom): -7.025
# Formation energy (no corrections) (meV/atom): -2874

Entry 4:
# GGA-PBE BaBeCu3, relaxed
data_BaBeCu3
_cell_length_a 4.5490
_cell_length_b 4.5490
_cell_length_c 4.5490
_cell_angle_alpha 90.00
_cell_angle_beta 90.00
_cell_angle_gamma 90.00
_symmetry_space_group_name_H-M 'P m -3 m'
_symmetry_Int_Tables_number 221
_symmetry_space_group_name_Hall '-P 4 2 3'
loop_
_atom_site_label
_atom_site_fract_x
_atom_site_fract_y
_atom_site_fract_z
Ba1 0.0000 0.0000 0.0000
Be1 0.5000 0.5000 0.5000
Cu1 0.0000 0.5000 0.5000
# V (Å³/f.u.): 94.1
# DFT total energy (eV/atom): -3.398
# E_form (eV/f.u.): 0.945

Entry 5:
# GGA-PBE B2C, relaxed
data_B2C
_cell_length_a 2.7463
_cell_length_b 2.7463
_cell_length_c 15.6124
_cell_angle_alpha 90.00
_cell_angle_beta 90.00
_cell_angle_gamma 120.00
_symmetry_space_group_name_H-M 'P 3 m 1'
_symmetry_Int_Tables_number 156
loop_
_symmetry_equiv_pos_as_xyz
'x,y,z'
'-y,x-y,z'
'-x+y,-x,z'
'-y,-x,z'
'-x+y,y,z'
'x,x-y,z'
loop_
_atom_site_label
_atom_site_fract_x
_atom_site_fract_y
_atom_site_fract_z
B1 0.0000 0.0000 0.0000
B2 0.0000 0.0000 0.1093
B3 0.0000 0.0000 0.5404
B4 0.3333 0.6667 0.1310
B5 0.3333 0.6667 0.3697
B6 0.6667 0.3333 0.4777
B7 0.6667 0.3333 0.7926
B8 0.6667 0.3333 0.9789
C1 0.0000 0.0000 0.6410
C2 0.3333 0.6667 0.6748
C3 0.3333 0.6667 0.7793
C4 0.6667 0.3333 0.3770
# V (Å³/f.u.): 25.5
# DFT total energy (eV/atom): -6.916
# E_form (eV/f.u.): 1.830

Entry 6:
# GGA-PBE Tb2Al2MoRu5, relaxed
data_Tb2Al2MoRu5
_cell_length_a 10.1462
_cell_length_b 10.1462
_cell_length_c 3.2555
_cell_angle_alpha 90.00
_cell_angle_beta 90.00
_cell_angle_gamma 90.00
_symmetry_space_group_name_H-M 'P 4/m b m'
_symmetry_Int_Tables_number 127
_symmetry_space_group_name_Hall '-P 4 2ab'
loop_
_atom_site_label
_atom_site_fract_x
_atom_site_fract_y
_atom_site_fract_z
Tb1 0.1717 0.3283 0.0000
Al1 0.1267 0.6267 0.0000
Mo1 0.0000 0.0000 0.0000
Ru1 0.0000 0.5000 0.5000
Ru2 0.0648 0.8033 0.5000
# V (Å³/f.u.): 167.6
# DFT total energy (eV/atom): -7.744
# E_form (eV/f.u.): -3.483

Entry 7:
# GGA-PBE Ca3Os, relaxed
data_Ca3Os
_cell_length_a 4.8903
_cell_length_b 6.5369
_cell_length_c 6.6981
_cell_angle_alpha 90.00
_cell_angle_beta 90.00
_cell_angle_gamma 90.00
_symmetry_space_group_name_H-M 'P m m n'
_symmetry_Int_Tables_number 59
loop_
_symmetry_equiv_pos_as_xyz
'x,y,z'
'-x,-y,-z'
'-x+1/2,-y+1/2,z'
'x+1/2,y+1/2,-z'
'x+1/2,-y,-z'
'-x+1/2,y,z'
'-x,y+1/2,-z'
'x,-y+1/2,z'
loop_
_atom_site_label
_atom_site_fract_x
_atom_site_fract_y
_atom_site_fract_z
Ca1 0.2500 0.0065 0.1457
Ca2 0.2500 0.2500 0.5732
Os1 0.2500 0.7500 0.7359
# V (Å³/f.u.): 107.1
# DFT total energy (eV/atom): -3.955
# E_form (eV/f.u.): 1.413

Entry 8:
# GGA-PBE Li14CuPd, relaxed
data_Li14CuPd
_cell_length_a 9.4156
_cell_length_b 5.6421
_cell_length_c 10.4186
_cell_angle_alpha 90.00
_cell_angle_beta 90.00
_cell_angle_gamma 90.00
_symmetry_space_group_name_H-M 'A m m 2'
_symmetry_Int_Tables_number 38
loop_
_symmetry_equiv_pos_as_xyz
'x,y,z'
'-x,-y,z'
'-x,y,z'
'x,-y,z'
'x,y+1/2,z+1/2'
'-x,-y+1/2,z+1/2'
'-x,y+1/2,z+1/2'
'x,-y+1/2,z+1/2'
loop_
_atom_site_label
_atom_site_fract_x
_atom_site_fract_y
_atom_site_fract_z
Li1 0.0000 0.0000 0.0000
Li2 0.0000 0.0000 0.4996
Li3 0.0000 0.2490 0.2467
Li4 0.2584 0.0000 0.3372
Li5 0.2579 0.0000 0.8376
Li6 0.2774 0.2467 0.5997
Li7 0.5000 0.2481 0.9296
Cu1 0.5000 0.0000 0.1910
Pd1 0.5000 0.0000 0.6935
# V (Å³/f.u.): 276.7
# DFT total energy (eV/atom): -2.300
# E_form (eV/f.u.): -0.722

Entry 9:
# GGA-PBE LaMg2AlPd4, relaxed
data_LaMg2AlPd4
_cell_length_a 4.4430
_cell_length_b 4.4430
_cell_length_c 26.2761
_cell_angle_alpha 90.00
_cell_angle_beta 90.00
_cell_angle_gamma 120.00
_symmetry_space_group_name_H-M 'R -3 m'
_symmetry_Int_Tables_number 166
_symmetry_space_group_name_Hall '-R 3 2"'
loop_
_atom_site_label
_atom_site_fract_x
_atom_site_fract_y
_atom_site_fract_z
La1 0.0000 0.0000 0.0000
Mg1 0.0000 0.0000 0.2370
Al1 0.0000 0.0000 0.5000
Pd1 0.0000 0.0000 0.1342
Pd2 0.0000 0.0000 0.4029
# V (Å³/f.u.): 149.7
# DFT total energy (eV/atom): -4.834
# E_form (eV/f.u.): -6.041

Entry 10:
# GGA-PBE Ni2AsRu2, relaxed
data_Ni2AsRu2
_cell_length_a 6.1613
_cell_length_b 6.1613
_cell_length_c 3.7570
_cell_angle_alpha 90.00
_cell_angle_beta 90.00
_cell_angle_gamma 90.00
_symmetry_space_group_name_H-M 'P 4/m b m'
_symmetry_Int_Tables_number 127
_symmetry_space_group_name_Hall '-P 4 2ab'
loop_
_atom_site_label
_atom_site_fract_x
_atom_site_fract_y
_atom_site_fract_z
Ni1 0.1530 0.3470 0.0000
As1 0.0000 0.0000 0.5000
Ru1 0.1418 0.6418 0.5000
# V (Å³/f.u.): 71.3
# DFT total energy (eV/atom): -6.741
# E_form (eV/f.u.): 1.058

Entry 11:
# GGA-PBE PmGaGe2, relaxed
data_PmGaGe2
_cell_length_a 6.0823
_cell_length_b 9.5357
_cell_length_c 5.8975
_cell_angle_alpha 90.00
_cell_angle_beta 90.00
_cell_angle_gamma 90.00
_symmetry_space_group_name_H-M 'C m c m'
_symmetry_Int_Tables_number 63
_symmetry_space_group_name_Hall '-C 2c 2'
loop_
_atom_site_label
_atom_site_fract_x
_atom_site_fract_y
_atom_site_fract_z
Pm1 0.0000 0.2344 0.2500
Ga1 0.0000 0.1650 0.7500
Ge1 0.2163 0.5000 0.0000
# V (Å³/f.u.): 85.5
# DFT total energy (eV/atom): -4.698
# E_form (eV/f.u.): -1.779

Entry 12:
# GGA-PBE CdTe2F, relaxed
data_CdTe2F
_cell_length_a 4.3583
_cell_length_b 6.3400
_cell_length_c 8.1711
_cell_angle_alpha 87.36
_cell_angle_beta 76.89
_cell_angle_gamma 88.55
_symmetry_space_group_name_H-M 'P 1'
_symmetry_Int_Tables_number 1
loop_
_symmetry_equiv_pos_as_xyz
'x,y,z'
loop_
_atom_site_label
_atom_site_fract_x
_atom_site_fract_y
_atom_site_fract_z
Cd1 0.0000 0.0000 0.0000
Cd2 0.3461 0.8541 0.3672
Te1 0.3868 0.3941 0.3305
Te2 0.7813 0.3553 0.6168
Te3 0.8970 0.9228 0.6749
Te4 0.9993 0.4402 0.0678
F1 0.4582 0.9168 0.0783
F2 0.8652 0.9130 0.2873
# V (Å³/f.u.): 109.8
# DFT total energy (eV/atom): -3.116
# Formation energy (no corrections) (meV/atom): -849